First-principles (PBE) data for a relaxed CuPt2O4 crystal, as listed in Alexandria via LeMat-Bulk.

Computed properties:
SG: P4/mmm, No. 123
Total energy, eV/atom: -5.2453
Crystal system: tetragonal
Uncorrected formation energy, eV per atom: -0.10

a b c (Å): 2.901 5.791 5.791
angles (deg): 90.00 90.00 90.00
Fractional positions:
Cu: 0.000 0.000 0.000
Pt: 0.000 0.500 0.000
Pt: 0.000 0.000 0.500
O: 0.001 0.778 0.222
O: 0.999 0.222 0.222
O: 0.999 0.778 0.778
O: 0.001 0.222 0.778